Cs2VInF6: relaxed, PBE+U.

Properties
Volume: 20.3 A^3/atom
Magnetic moment: 2.0 μB/f.u.
Calculated density: 4.5 g/cm3
Electronic total energy: -4.908 eV/atom
N(E_F): 1.85 states/eV/atom

Cell lengths 6.6095, 6.6095, 9.3152 Å; angles 90.00, 90.00, 90.00 degrees
Closest atoms and distances in Å follow each position.
Space group I4/mmm (No. 139)
Asymmetric unit:
Cs1 0.0000 0.5000 0.2500 (multiplicity 4)  12 F 3.32
V1 0.0000 0.0000 0.0000 (multiplicity 2)  6 F 1.97-2.00
In1 0.0000 0.0000 0.5000 (multiplicity 2)  6 F 2.67-2.69
F1 0.0000 0.0000 0.2110 (multiplicity 4)  1 V 1.97
F2 0.2143 0.2143 0.0000 (multiplicity 8)  1 V 2.00